Below is an optimized crystal structure of CrInBr3, with properties calculated at the PBE-GGA level.

Cell lengths 5.2521, 5.2521, 5.2521 Å; angles 90.00, 90.00, 90.00 degrees
Last column: nearest neighbours and their distance in Å.
Sites, in units of the cell vectors:
Cr  0.0000  0.0000  0.0000  6 Br 2.63
Br  0.0000  0.5000  0.0000  2 Cr 2.63
Br  0.0000  0.0000  0.5000  2 Cr 2.63
Br  0.5000  0.0000  0.0000  2 Cr 2.63
In  0.5000  0.5000  0.5000  12 Br 3.71

**ΔE to the lowest computed polymorph**: 0.028 eV per atom
**Total energy**: -4.082 eV/atom
**SG**: Pm-3m (221)

=====

Below is an optimized crystal structure of CrInBr2, with properties calculated at the PBE-GGA level.

Cell lengths 3.7595, 3.7595, 9.4780 Å; angles 90.00, 90.00, 118.56 degrees
Last column: nearest neighbours and their distance in Å.
Sites, in units of the cell vectors:
Br  0.0000  0.0000  0.9398  2 In 2.78
Br  0.5000  0.5000  0.3285  2 Cr 2.54
Cr  0.0000  0.0000  0.5037  2 Br 2.54
In  0.5000  0.5000  0.7279  2 Br 2.78, 2 Cr 2.86

**ΔE to the lowest computed polymorph**: 0.170 eV per atom
**Total energy**: -4.076 eV/atom
**SG**: Cmm2 (35)

=====

Below is an optimized crystal structure of CrInBr, with properties calculated at the PBE-GGA level.

Cell lengths 4.9235, 4.9235, 4.9235 Å; angles 60.00, 60.00, 60.00 degrees
Last column: nearest neighbours and their distance in Å.
Sites, in units of the cell vectors:
Br  0.5000  0.5000  0.5000  4 Cr 3.02
Cr  0.7500  0.7500  0.7500  4 In 3.02, 4 Br 3.02
In  0.0000  0.0000  0.0000  4 Cr 3.02

**ΔE to the lowest computed polymorph**: 0.252 eV per atom
**Total energy**: -4.294 eV/atom
**SG**: F-43m (216)

=====

Below is an optimized crystal structure of CrInBr2, with properties calculated at the PBE-GGA level.

Cell lengths 3.5426, 3.7467, 10.1544 Å; angles 68.27, 90.00, 90.00 degrees
Last column: nearest neighbours and their distance in Å.
Sites, in units of the cell vectors:
Br  0.0000  0.2155  0.0743  2 Cr 2.55
Br  0.0000  0.2845  0.4257  2 Cr 2.55
Cr  0.5000  0.2500  0.2500  4 Br 2.55
In  0.5000  0.7500  0.7500  4 In 3.54-3.75, 4 Br 3.62

**ΔE to the lowest computed polymorph**: 0.064 eV per atom
**Total energy**: -4.182 eV/atom
**SG**: P2/m (10)

=====

Below is an optimized crystal structure of CrInBr2, with properties calculated at the PBE-GGA level.

Cell lengths 3.8467, 3.8467, 9.7754 Å; angles 90.00, 90.00, 123.68 degrees
Last column: nearest neighbours and their distance in Å.
Sites, in units of the cell vectors:
Br  0.0000  0.0000  0.0674  2 Cr 2.55
Br  0.0000  0.0000  0.4326  2 Cr 2.55
Cr  0.5000  0.5000  0.2500  4 Br 2.55
In  0.5000  0.5000  0.7500  4 Br 3.59, 6 In 3.63-3.85

**ΔE to the lowest computed polymorph**: 0.042 eV per atom
**Total energy**: -4.204 eV/atom
**SG**: Cmmm (65)

=====

Below is an optimized crystal structure of CrInBr2, with properties calculated at the PBE-GGA level.

Cell lengths 5.3103, 5.3103, 5.3103 Å; angles 60.00, 60.00, 60.00 degrees
Last column: nearest neighbours and their distance in Å.
Sites, in units of the cell vectors:
Br  0.0000  0.0000  0.0000  4 In 3.25, 4 Br 3.25
Br  0.7500  0.7500  0.7500  4 Cr 3.25, 4 Br 3.25
Cr  0.5000  0.5000  0.5000  4 Br 3.25, 4 In 3.25
In  0.2500  0.2500  0.2500  4 Cr 3.25, 4 Br 3.25

**ΔE to the lowest computed polymorph**: 0.497 eV per atom
**Total energy**: -3.749 eV/atom
**SG**: F-43m (216)

=====

Below is an optimized crystal structure of CrInBr2, with properties calculated at the PBE-GGA level.

Cell lengths 6.0128, 6.0128, 6.8839 Å; angles 64.93, 64.93, 34.71 degrees
Last column: nearest neighbours and their distance in Å.
Sites, in units of the cell vectors:
Br  0.0179  0.0179  0.0809  2 Cr 2.55
Br  0.8605  0.8605  0.6682  2 Cr 2.55
Cr  0.4428  0.4428  0.3745  4 Br 2.55
In  0.1787  0.1787  0.3764  3 Cr 3.03-3.25, 2 Br 3.30

**ΔE to the lowest computed polymorph**: 0.021 eV per atom
**Total energy**: -4.225 eV/atom
**SG**: Cm (8)

=====

Below is an optimized crystal structure of CrIn2Br, with properties calculated at the PBE-GGA level.

Cell lengths 6.1946, 6.1946, 6.1946 Å; angles 138.84, 138.84, 59.62 degrees
Last column: nearest neighbours and their distance in Å.
Sites, in units of the cell vectors:
Br  0.2500  0.7500  0.5000  4 Cr 3.08
Cr  0.7500  0.2500  0.5000  4 Br 3.08
In  0.0000  0.0000  0.0000  4 In 3.08
In  0.5000  0.5000  0.0000  4 In 3.08

**ΔE to the lowest computed polymorph**: 0.216 eV per atom
**Total energy**: -3.931 eV/atom
**SG**: I4/mmm (139)

=====

One value per record, in order, for uncorrected formation energy: -0.61 -0.15 0.38 -0.26 -0.28 0.18 -0.30 0.26 eV/atom.